--- A ---
Material: Fe12C
Method: DFT, PBE
State: optimized geometry

Output
magnetization: 27.581 μB per formula unit
volume: 145.67 Å³ per cell

a b c (Å): 5.033 3.989 7.271
angles (deg): 90.00 93.65 90.00
Element x y z (fractional)
Fe  0.500  0.500  0.500
Fe  0.316  0.500  0.169
Fe  0.843  0.000  0.663
Fe  0.651  0.000  0.340
Fe  0.349  0.000  0.660
Fe  0.792  0.500  0.195
Fe  0.000  0.500  0.500
Fe  0.500  0.000  0.000
Fe  0.000  0.000  0.000
Fe  0.157  0.000  0.337
Fe  0.684  0.500  0.831
Fe  0.208  0.500  0.805
C  0.000  0.500  0.000


--- B ---
Material: Fe12C
Method: DFT, PBE
State: optimized geometry

Output
magnetization: 28.185 μB per formula unit
volume: 147.48 Å³ per cell

a b c (Å): 3.954 4.977 7.494
angles (deg): 90.00 90.00 90.00
Element x y z (fractional)
Fe  0.000  0.237  0.821
Fe  0.500  0.500  0.336
Fe  0.000  0.250  0.500
Fe  0.000  0.750  0.500
Fe  0.500  0.000  0.661
Fe  0.500  0.000  0.000
Fe  0.000  0.237  0.179
Fe  0.500  0.500  0.664
Fe  0.500  0.000  0.339
Fe  0.500  0.500  0.000
Fe  0.000  0.763  0.821
Fe  0.000  0.763  0.179
C  0.000  0.500  0.000


--- C ---
Material: Fe12C
Method: DFT, PBE
State: optimized geometry

Output
magnetization: 27.723 μB per formula unit
volume: 145.78 Å³ per cell

a b c (Å): 4.150 5.025 7.009
angles (deg): 88.01 87.80 86.96
Element x y z (fractional)
Fe  0.742  0.497  0.749
Fe  0.233  0.331  0.917
Fe  0.756  0.660  0.083
Fe  0.239  0.009  0.253
Fe  0.761  0.337  0.417
Fe  0.252  0.169  0.586
Fe  0.247  0.830  0.916
Fe  0.249  0.672  0.590
Fe  0.291  0.537  0.269
Fe  0.748  0.838  0.419
Fe  0.704  0.132  0.067
Fe  0.745  0.994  0.745
C  0.997  0.334  0.167


Order from most stable to least stable according to the calculation: A, C, B


--- A ---
Material: FeC3
Method: DFT, PBE
State: optimized geometry

Output
magnetization: 0.039 μB per formula unit
volume: 39.22 Å³ per cell

a b c (Å): 6.495 6.495 6.495
angles (deg): 157.76 157.76 31.66
Element x y z (fractional)
Fe  0.000  0.000  0.000
C  0.500  0.500  0.000
C  0.750  0.250  0.500
C  0.250  0.750  0.500


--- B ---
Material: FeC3
Method: DFT, PBE
State: optimized geometry

Output
magnetization: 0.016 μB per formula unit
volume: 81.95 Å³ per cell

a b c (Å): 3.799 3.799 6.557
angles (deg): 90.00 90.00 120.00
Element x y z (fractional)
C  0.127  0.873  0.250
C  0.873  0.127  0.750
C  0.127  0.253  0.250
C  0.253  0.127  0.750
C  0.747  0.873  0.250
C  0.873  0.747  0.750
Fe  0.333  0.667  0.750
Fe  0.667  0.333  0.250


Order from most stable to least stable according to the calculation: B, A


--- A ---
Material: FeC2
Method: DFT, PBE
State: optimized geometry

Output
magnetization: 0.001 μB per formula unit
volume: 54.78 Å³ per cell

a b c (Å): 4.691 4.691 2.490
angles (deg): 90.00 90.00 90.00
Element x y z (fractional)
Fe  0.500  0.500  0.500
Fe  0.000  0.000  0.000
C  0.285  0.285  0.000
C  0.215  0.785  0.500
C  0.785  0.215  0.500
C  0.715  0.715  0.000


--- B ---
Material: FeC2
Method: DFT, PBE
State: optimized geometry

Output
magnetization: 0.001 μB per formula unit
volume: 126.26 Å³ per cell

a b c (Å): 5.631 5.631 5.631
angles (deg): 60.00 60.00 60.00
Element x y z (fractional)
C  0.375  0.875  0.375
C  0.375  0.375  0.875
C  0.875  0.375  0.375
C  0.375  0.375  0.375
Fe  0.250  0.250  0.250
Fe  0.500  0.500  0.500


Order from most stable to least stable according to the calculation: A, B


--- A ---
Material: Nd2Fe14C
Method: DFT, PBE
State: optimized geometry

Output
magnetization: 30.822 μB per formula unit
volume: 945.08 Å³ per cell

a b c (Å): 8.705 8.705 12.472
angles (deg): 90.00 90.00 90.00
Element x y z (fractional)
C  0.377  0.377  0.500
C  0.123  0.877  0.000
C  0.623  0.623  0.500
C  0.877  0.123  0.000
Nd  0.176  0.176  0.500
Nd  0.824  0.824  0.500
Nd  0.265  0.265  0.000
Nd  0.735  0.735  0.000
Nd  0.676  0.324  0.000
Nd  0.765  0.235  0.500
Nd  0.324  0.676  0.000
Nd  0.235  0.765  0.500
Fe  0.542  0.760  0.390
Fe  0.141  0.473  0.179
Fe  0.641  0.027  0.321
Fe  0.000  0.000  0.604
Fe  0.260  0.958  0.110
Fe  0.192  0.192  0.752
Fe  0.605  0.605  0.243
Fe  0.473  0.141  0.179
Fe  0.027  0.641  0.679
Fe  0.527  0.859  0.821
Fe  0.895  0.105  0.257
Fe  0.359  0.973  0.679
Fe  0.359  0.973  0.321
Fe  0.458  0.240  0.390
Fe  0.859  0.527  0.821
Fe  0.542  0.760  0.610
Fe  0.308  0.692  0.748
Fe  0.500  0.500  0.104
Fe  0.808  0.808  0.752
Fe  0.760  0.542  0.390
Fe  0.105  0.895  0.257
Fe  0.527  0.859  0.179
Fe  0.473  0.141  0.821
Fe  0.605  0.605  0.757
Fe  0.859  0.527  0.179
Fe  0.308  0.692  0.252
Fe  0.500  0.500  0.896
Fe  0.240  0.458  0.390
Fe  0.395  0.395  0.243
Fe  0.500  0.000  0.000
Fe  0.958  0.260  0.890
Fe  0.105  0.895  0.743
Fe  0.760  0.542  0.610
Fe  0.042  0.740  0.890
Fe  0.000  0.500  0.000
Fe  0.500  0.000  0.500
Fe  0.042  0.740  0.110
Fe  0.692  0.308  0.252
Fe  0.808  0.808  0.248
Fe  0.458  0.240  0.610
Fe  0.740  0.042  0.110
Fe  0.000  0.000  0.396
Fe  0.027  0.641  0.321
Fe  0.973  0.359  0.679
Fe  0.973  0.359  0.321
Fe  0.958  0.260  0.110
Fe  0.240  0.458  0.610
Fe  0.395  0.395  0.757
Fe  0.740  0.042  0.890
Fe  0.260  0.958  0.890
Fe  0.192  0.192  0.248
Fe  0.692  0.308  0.748
Fe  0.641  0.027  0.679
Fe  0.895  0.105  0.743
Fe  0.000  0.500  0.500
Fe  0.141  0.473  0.821


--- B ---
Material: Nd2Fe14C
Method: DFT, PBE
State: optimized geometry

Output
magnetization: 30.434 μB per formula unit
volume: 915.32 Å³ per cell

a b c (Å): 8.766 8.766 11.911
angles (deg): 90.00 90.00 90.00
Element x y z (fractional)
Fe  0.275  0.066  0.379
Fe  0.317  0.317  0.755
Fe  0.641  0.964  0.823
Fe  0.098  0.098  0.792
Fe  0.566  0.225  0.121
Fe  0.359  0.036  0.177
Fe  0.536  0.141  0.677
Fe  0.641  0.964  0.177
Fe  0.036  0.359  0.823
Fe  0.859  0.464  0.323
Fe  0.434  0.775  0.121
Fe  0.000  0.000  0.607
Fe  0.434  0.775  0.879
Fe  0.141  0.536  0.677
Fe  0.964  0.641  0.823
Fe  0.683  0.683  0.755
Fe  0.817  0.183  0.255
Fe  0.464  0.859  0.323
Fe  0.859  0.464  0.677
Fe  0.000  0.000  0.393
Fe  0.725  0.934  0.621
Fe  0.225  0.566  0.121
Fe  0.566  0.225  0.879
Fe  0.598  0.402  0.708
Fe  0.275  0.066  0.621
Fe  0.183  0.817  0.745
Fe  0.141  0.536  0.323
Fe  0.402  0.598  0.708
Fe  0.098  0.098  0.208
Fe  0.775  0.434  0.121
Fe  0.000  0.500  0.000
Fe  0.536  0.141  0.323
Fe  0.934  0.725  0.621
Fe  0.683  0.683  0.245
Fe  0.775  0.434  0.879
Fe  0.964  0.641  0.177
Fe  0.066  0.275  0.379
Fe  0.066  0.275  0.621
Fe  0.036  0.359  0.177
Fe  0.183  0.817  0.255
Fe  0.225  0.566  0.879
Fe  0.000  0.500  0.500
Fe  0.725  0.934  0.379
Fe  0.817  0.183  0.745
Fe  0.359  0.036  0.823
Fe  0.934  0.725  0.379
Fe  0.500  0.500  0.107
Fe  0.902  0.902  0.208
Fe  0.317  0.317  0.245
Fe  0.500  0.000  0.500
Fe  0.902  0.902  0.792
Fe  0.500  0.500  0.893
Fe  0.464  0.859  0.677
Fe  0.500  0.000  0.000
Fe  0.402  0.598  0.292
Fe  0.598  0.402  0.292
Nd  0.643  0.643  0.500
Nd  0.239  0.761  0.500
Nd  0.761  0.239  0.500
Nd  0.857  0.143  0.000
Nd  0.739  0.739  0.000
Nd  0.357  0.357  0.500
Nd  0.143  0.857  0.000
Nd  0.261  0.261  0.000
C  0.875  0.875  0.500
C  0.625  0.375  0.000
C  0.125  0.125  0.500
C  0.375  0.625  0.000


Order from most stable to least stable according to the calculation: B, A